! GGA-PBEsol CoTe2IrN, relaxed; values from VASP
&SYSTEM
  ibrav = 0, nat = 5, ntyp = 4
/
ATOMIC_SPECIES
Co 58.93 Co.upf
Te 127.60 Te.upf
Ir 192.22 Ir.upf
N 14.01 N.upf
ATOMIC_POSITIONS crystal
Co 0.000 0.000 0.000
Te 0.000 0.500 0.000
Te 0.500 0.000 0.000
Ir 0.500 0.500 0.500
N 0.000 0.000 0.500
CELL_PARAMETERS angstrom
5.045 0.000 0.000
0.000 5.045 0.000
0.000 0.000 3.280
! Calculated total energy: -0.4556 Ry per atom
! Formation energy from raw total energies: 0.43 eV/atom